(1)
VASP calculation (PBE-GGA) on a geometry-optimized Dy5Ho structure.

a = 4.9892 Å, b = 6.1138 Å, c = 7.0619 Å
α = 106.79°, β = 90.00°, γ = 114.06°
With the nearest neighbours (Å) after each atom.
Positions (direct):
Dy 0.9721 0.9442 0.0554  2 Ho 3.53, 10 Dy 3.53
Dy 0.3056 0.6111 0.2222  10 Dy 3.53, 2 Ho 3.53
Dy 0.6388 0.2776 0.8888  9 Dy 3.53, 3 Ho 3.53
Dy 0.6390 0.2780 0.3890  2 Ho 3.53, 10 Dy 3.53
Dy 0.9723 0.9446 0.5557  9 Dy 3.53, 3 Ho 3.53
Ho 0.3055 0.6111 0.7222  12 Dy 3.53

- E_tot (eV for the cell shown) = -27.5
- volume (Å³/atom) = 31.10
- symmetry = No. 12

***

(2)
VASP calculation (PBE-GGA) on a geometry-optimized Sc2WC2 structure.

a = 5.6037 Å, b = 5.6037 Å, c = 5.5038 Å
α = 98.23°, β = 98.23°, γ = 121.31°
With the nearest neighbours (Å) after each atom.
Positions (direct):
Sc 0.7390 0.2610 0.7500  4 C 2.29-2.35
Sc 0.5846 0.4154 0.2500  4 C 2.30-2.36
Sc 0.4154 0.5846 0.7500  4 C 2.30-2.36
Sc 0.2610 0.7390 0.2500  4 C 2.29-2.35
W 0.0502 0.9498 0.7500  4 C 2.04-2.15
W 0.9498 0.0502 0.2500  4 C 2.04-2.15
C 0.8522 0.6870 0.0001  2 W 2.04-2.15
C 0.6870 0.8522 0.5001  2 W 2.04-2.15
C 0.1478 0.3130 0.9999  2 W 2.04-2.15
C 0.3130 0.1478 0.4999  2 W 2.04-2.15

- E above lowest polymorph (eV per atom) = 0.000
- volume (Å³/atom) = 14.12
- symmetry = No. 15

***

(3)
VASP calculation (PBE-GGA) on a geometry-optimized Cs2HoGaS4 structure.

a = 6.1741 Å, b = 7.9563 Å, c = 13.3604 Å
α = 84.86°, β = 76.64°, γ = 67.17°
With the nearest neighbours (Å) after each atom.
Positions (direct):
Cs 0.1786 0.0000 0.6428  8 S 3.74-4.03
Cs 0.8214 0.0000 0.3572  8 S 3.74-4.03
Cs 0.5714 0.5000 0.8572  8 S 3.74-4.03
Cs 0.9286 0.5000 0.1428  8 S 3.74-4.03
Ho 0.7500 0.5000 0.5000  4 S 2.56
Ho 0.0000 0.0000 0.0000  4 S 2.56
Ga 0.2500 0.5000 0.5000  4 S 2.33
Ga 0.5000 0.0000 0.0000  4 S 2.33
S 0.3235 0.8125 0.1001  1 Ga 2.33, 1 Ho 2.56
S 0.2361 0.1875 0.8999  1 Ga 2.33, 1 Ho 2.56
S 0.8640 0.8125 0.8999  1 Ga 2.33, 1 Ho 2.56
S 0.5764 0.1875 0.1001  1 Ga 2.33, 1 Ho 2.56
S 0.4265 0.6875 0.3999  1 Ga 2.33, 1 Ho 2.56
S 0.5139 0.3125 0.6001  1 Ga 2.33, 1 Ho 2.56
S 0.8860 0.6875 0.6001  1 Ga 2.33, 1 Ho 2.56
S 0.1736 0.3125 0.3999  1 Ga 2.33, 1 Ho 2.56

- ΔE_f (raw) (eV per atom) = -1.33
- volume (Å³/atom) = 36.78
- symmetry = No. 70

***

(4)
VASP calculation (PBE-GGA) on a geometry-optimized Ba3PrY3Te8 structure.

a = 9.0554 Å, b = 9.0501 Å, c = 9.5235 Å
α = 118.34°, β = 90.01°, γ = 120.00°
With the nearest neighbours (Å) after each atom.
Positions (direct):
Ba 0.0000 0.0000 0.0000  6 Te 3.46-3.47
Ba 0.0000 0.5000 0.0000  6 Te 3.45-3.47
Ba 0.5000 0.5000 0.0000  6 Te 3.45-3.47
Pr 0.0000 0.0000 0.5000  6 Te 3.24
Y 0.5000 0.0000 0.5000  6 Te 3.11-3.13
Y 0.5000 0.5000 0.5000  6 Te 3.11-3.13
Y 0.0000 0.5000 0.5000  6 Te 3.11-3.13
Te 0.2612 0.5225 0.2837  3 Y 3.13, 3 Ba 3.45-3.46
Te 0.7388 0.4775 0.7163  3 Y 3.13, 3 Ba 3.45-3.46
Te 0.7528 0.5056 0.2784  2 Y 3.11, 1 Pr 3.24, 2 Ba 3.47
Te 0.2472 0.4944 0.7216  2 Y 3.11, 1 Pr 3.24, 2 Ba 3.47
Te 0.7527 0.0256 0.2782  2 Y 3.11, 1 Pr 3.24, 2 Ba 3.47
Te 0.2473 0.9744 0.7218  2 Y 3.11, 1 Pr 3.24, 2 Ba 3.47
Te 0.2728 0.0256 0.2783  2 Y 3.11, 1 Pr 3.24, 2 Ba 3.47
Te 0.7272 0.9744 0.7217  2 Y 3.11, 1 Pr 3.24, 2 Ba 3.47

- ΔE_f (raw) (eV per atom) = -1.55
- volume (Å³/atom) = 37.69
- symmetry = No. 166

***

(5)
VASP calculation (PBE-GGA) on a geometry-optimized Pr6CoRh2Br3 structure.

a = 7.1286 Å, b = 7.1286 Å, c = 8.2277 Å
α = 98.28°, β = 98.28°, γ = 120.02°
With the nearest neighbours (Å) after each atom.
Positions (direct):
Pr 0.9351 0.6116 0.8053  1 Co 2.77, 2 Rh 2.86
Pr 0.7413 0.7413 0.1951  1 Co 2.77, 2 Rh 2.86
Pr 0.0649 0.3884 0.1947  1 Co 2.77, 2 Rh 2.86
Pr 0.6116 0.9351 0.8053  1 Co 2.77, 2 Rh 2.86
Pr 0.2587 0.2587 0.8049  1 Co 2.77, 2 Rh 2.86
Pr 0.3884 0.0649 0.1947  1 Co 2.77, 2 Rh 2.86
Co 0.0000 0.0000 0.0000  6 Pr 2.77
Rh 0.3332 0.6668 0.0000  6 Pr 2.86
Rh 0.6668 0.3332 0.0000  6 Pr 2.86
Br 0.1651 0.8349 0.5000  6 Pr 3.34-3.44
Br 0.8349 0.1651 0.5000  6 Pr 3.34-3.44
Br 0.5000 0.5000 0.5000  6 Pr 3.36-3.43

- ΔE_f (raw) (eV per atom) = -0.95
- volume (Å³/atom) = 28.89
- symmetry = No. 12

***

(6)
VASP calculation (PBE-GGA) on a geometry-optimized Pu3Te2S structure.

a = 4.2499 Å, b = 6.1035 Å, c = 7.4683 Å
α = 114.12°, β = 106.53°, γ = 90.00°
With the nearest neighbours (Å) after each atom.
Positions (direct):
Pu 0.3559 0.3559 0.7119  2 S 2.83, 4 Te 3.08-3.16
Pu 0.0000 0.0000 0.0000  2 S 3.05, 4 Te 3.11
Pu 0.6441 0.6441 0.2881  2 S 2.83, 4 Te 3.08-3.16
Te 0.6755 0.1755 0.3511  6 Pu 3.08-3.16
Te 0.3245 0.8245 0.6489  6 Pu 3.08-3.16
S 0.0000 0.5000 0.0000  6 Pu 2.83-3.05

- E above lowest polymorph (eV per atom) = 0.000
- ΔE_f (raw) (eV per atom) = -1.26
- volume (Å³/atom) = 28.00
- symmetry = No. 71

***

(7)
VASP calculation (PBE-GGA) on a geometry-optimized SiPIr2 structure.

a = 2.7920 Å, b = 5.0656 Å, c = 4.0739 Å
α = 90.00°, β = 90.00°, γ = 90.00°
With the nearest neighbours (Å) after each atom.
Positions (direct):
Ir 0.0000 0.0000 0.0000  4 P 2.47
Ir 0.5000 0.5000 0.0000  4 Si 2.47
P 0.5000 0.0000 0.5000  4 Ir 2.47
Si 0.0000 0.5000 0.5000  4 Ir 2.47

- E above lowest polymorph (eV per atom) = 0.478
- ΔE_f (raw) (eV per atom) = 0.11
- volume (Å³/atom) = 14.40
- symmetry = No. 47

***

(8)
VASP calculation (PBE-GGA) on a geometry-optimized Y2SiBr structure.

a = 6.4101 Å, b = 6.4101 Å, c = 6.4101 Å
α = 142.06°, β = 142.06°, γ = 54.73°
With the nearest neighbours (Å) after each atom.
Positions (direct):
Br 0.5000 0.5000 0.0000  4 Y 2.95
Si 0.7500 0.2500 0.5000  4 Y 2.95
Y 0.0000 0.0000 0.0000  4 Br 2.95
Y 0.2500 0.7500 0.5000  4 Si 2.95

- E above lowest polymorph (eV per atom) = 0.528
- ΔE_f (raw) (eV per atom) = -0.51
- volume (Å³/atom) = 24.71
- symmetry = No. 119

***

(9)
VASP calculation (PBE-GGA) on a geometry-optimized Cd4NiPd3 structure.

a = 3.2328 Å, b = 3.2328 Å, c = 13.0820 Å
α = 90.00°, β = 90.00°, γ = 90.00°
With the nearest neighbours (Å) after each atom.
Positions (direct):
Ni 0.5000 0.5000 0.0000  8 Cd 2.74
Pd 0.5000 0.5000 0.2427  8 Cd 2.83-2.84
Pd 0.5000 0.5000 0.5000  8 Cd 2.84
Pd 0.5000 0.5000 0.7573  8 Cd 2.83-2.84
Cd 0.0000 0.0000 0.8849  4 Ni 2.74, 4 Pd 2.83, 1 Cd 3.01
Cd 0.0000 0.0000 0.1151  4 Ni 2.74, 4 Pd 2.83, 1 Cd 3.01
Cd 0.0000 0.0000 0.3713  8 Pd 2.84
Cd 0.0000 0.0000 0.6287  8 Pd 2.84

- E_tot (eV for the cell shown) = -27.2
- volume (Å³/atom) = 17.09
- symmetry = No. 123

***

(10)
VASP calculation (PBE-GGA) on a geometry-optimized Pm8Si2Sn3 structure.

a = 5.0768 Å, b = 10.3184 Å, c = 9.1332 Å
α = 124.44°, β = 90.00°, γ = 90.00°
With the nearest neighbours (Å) after each atom.
Positions (direct):
Pm 0.0001 0.6278 0.2555  2 Si 3.04, 2 Sn 3.16
Pm 0.9999 0.3722 0.7445  2 Si 3.04, 2 Sn 3.16
Pm 0.9999 0.1374 0.2748  2 Si 3.15, 4 Sn 3.28-3.37
Pm 0.0001 0.8626 0.7252  2 Si 3.15, 4 Sn 3.28-3.37
Pm 0.5001 0.6187 0.7333  2 Si 3.05-3.20, 3 Sn 3.24-3.25
Pm 0.5001 0.1146 0.7332  2 Si 3.05-3.20, 3 Sn 3.24-3.25
Pm 0.4999 0.8854 0.2668  2 Si 3.05-3.20, 3 Sn 3.24-3.25
Pm 0.4999 0.3813 0.2667  2 Si 3.05-3.20, 3 Sn 3.24-3.25
Si 0.4999 0.2611 0.5221  8 Pm 3.04-3.20
Si 0.5001 0.7389 0.4779  8 Pm 3.04-3.20
Sn 0.5000 0.0000 0.0000  8 Pm 3.25-3.28
Sn 0.0000 0.2572 0.0000  8 Pm 3.16-3.37
Sn 0.0000 0.7428 0.0000  8 Pm 3.16-3.37

- ΔE_f (raw) (eV per atom) = -0.50
- volume (Å³/atom) = 30.35
- symmetry = No. 65

***

(11)
VASP calculation (PBE-GGA) on a geometry-optimized MnCrPb2 structure.

a = 4.8577 Å, b = 4.8577 Å, c = 6.0061 Å
α = 78.59°, β = 78.59°, γ = 41.13°
With the nearest neighbours (Å) after each atom.
Positions (direct):
Cr 0.2500 0.2500 0.2500  6 Pb 2.98-2.99
Mn 0.7500 0.7500 0.7500  6 Pb 2.97-2.98
Pb 0.9996 0.9996 0.9989  3 Mn 2.97-2.98, 3 Cr 2.98-2.99
Pb 0.5004 0.5004 0.5011  3 Mn 2.97-2.98, 3 Cr 2.98-2.99

- E above lowest polymorph (eV per atom) = 0.272
- volume (Å³/atom) = 22.78
- symmetry = No. 12

***

(12)
VASP calculation (PBE-GGA) on a geometry-optimized CaFe2Te structure.

a = 4.1244 Å, b = 4.1244 Å, c = 6.0674 Å
α = 70.11°, β = 70.11°, γ = 59.96°
With the nearest neighbours (Å) after each atom.
Positions (direct):
Ca 0.7363 0.7363 0.7910  6 Fe 3.14-3.18, 4 Te 3.29-3.30
Te 0.5398 0.5398 0.3806  6 Fe 2.66-2.68
Fe 0.9470 0.9470 0.1592  3 Fe 2.38
Fe 0.2769 0.2769 0.1693  3 Fe 2.38, 3 Te 2.66

- E above lowest polymorph (eV per atom) = 0.000
- ΔE_f (raw) (eV per atom) = -0.11
- volume (Å³/atom) = 20.54
- symmetry = No. 160